(1)
First-principles (PBE) data for BeTlAu4 after structural relaxation, as listed in Alexandria. Values from VASP.

```
&SYSTEM
  ibrav = 0, nat = 6, ntyp = 3
/
ATOMIC_SPECIES
Be 9.01 Be.upf
Tl 204.38 Tl.upf
Au 196.97 Au.upf
CELL_PARAMETERS angstrom
0.000 3.942 3.942
3.942 0.000 3.942
3.942 3.942 0.000
ATOMIC_POSITIONS crystal
Be 0.000 0.000 0.000
Tl 0.750 0.750 0.750
Au 0.375 0.375 0.375
Au 0.375 0.375 0.876
Au 0.375 0.876 0.375
Au 0.876 0.375 0.375
```

Values from the calculation:
- ΔE to the lowest computed polymorph: 8.52 kcal/mol of atoms
- Raw total energy: -2.8664 eV/atom
- Formation energy: 0.334 eV per atom

(2)
First-principles (PBE) data for Be2TlAu after structural relaxation, as listed in Alexandria. Values from VASP.

```
&SYSTEM
  ibrav = 0, nat = 4, ntyp = 3
/
ATOMIC_SPECIES
Be 9.01 Be.upf
Tl 204.38 Tl.upf
Au 196.97 Au.upf
CELL_PARAMETERS angstrom
-1.916 1.916 4.270
1.916 -1.916 4.270
1.916 1.916 -4.270
ATOMIC_POSITIONS crystal
Be 0.000 0.000 0.000
Be 0.750 0.250 0.500
Tl 0.250 0.750 0.500
Au 0.500 0.500 0.000
```

Values from the calculation:
- ΔE to the lowest computed polymorph: 10.13 kcal/mol of atoms
- Raw total energy: -2.7285 eV/atom
- Formation energy: 0.546 eV per atom

(3)
First-principles (PBE) data for BeTlAu4 after structural relaxation, as listed in Alexandria. Values from VASP.

```
&SYSTEM
  ibrav = 0, nat = 12, ntyp = 3
/
ATOMIC_SPECIES
Be 9.01 Be.upf
Tl 204.38 Tl.upf
Au 196.97 Au.upf
CELL_PARAMETERS angstrom
6.673 -2.997 0.000
6.673 2.997 0.000
-1.554 0.000 5.746
ATOMIC_POSITIONS crystal
Be 0.017 0.017 0.323
Be 0.983 0.983 0.677
Tl 0.300 0.300 0.856
Tl 0.700 0.700 0.144
Au 0.156 0.626 0.387
Au 0.196 0.196 0.272
Au 0.246 0.754 0.000
Au 0.374 0.844 0.613
Au 0.626 0.156 0.387
Au 0.754 0.246 0.000
Au 0.804 0.804 0.728
Au 0.844 0.374 0.613
```

Values from the calculation:
- ΔE to the lowest computed polymorph: 0.00 kcal/mol of atoms
- Raw total energy: -3.2359 eV/atom
- Formation energy: -0.036 eV per atom

(4)
First-principles (PBE) data for Be2TlAu after structural relaxation, as listed in Alexandria. Values from VASP.

```
&SYSTEM
  ibrav = 0, nat = 4, ntyp = 3
/
ATOMIC_SPECIES
Be 9.01 Be.upf
Tl 204.38 Tl.upf
Au 196.97 Au.upf
CELL_PARAMETERS angstrom
0.000 3.119 3.119
3.119 0.000 3.119
3.119 3.119 0.000
ATOMIC_POSITIONS crystal
Be 0.250 0.250 0.250
Be 0.750 0.750 0.750
Tl 0.000 0.000 0.000
Au 0.500 0.500 0.500
```

Values from the calculation:
- ΔE to the lowest computed polymorph: 8.60 kcal/mol of atoms
- Raw total energy: -2.7948 eV/atom
- Formation energy: 0.479 eV per atom

(5)
First-principles (PBE) data for BeTlAu3 after structural relaxation, as listed in Alexandria. Values from VASP.

```
&SYSTEM
  ibrav = 0, nat = 5, ntyp = 3
/
ATOMIC_SPECIES
Be 9.01 Be.upf
Tl 204.38 Tl.upf
Au 196.97 Au.upf
CELL_PARAMETERS angstrom
4.637 0.000 0.000
0.000 4.637 0.000
0.000 0.000 4.637
ATOMIC_POSITIONS crystal
Be 0.000 0.000 0.000
Tl 0.500 0.500 0.500
Au 0.000 0.000 0.500
Au 0.000 0.500 0.000
Au 0.500 0.000 0.000
```

Values from the calculation:
- ΔE to the lowest computed polymorph: 2.27 kcal/mol of atoms
- Raw total energy: -3.1036 eV/atom
- Formation energy: 0.081 eV per atom

(6)
First-principles (PBE) data for Be2TlAu after structural relaxation, as listed in Alexandria. Values from VASP.

```
&SYSTEM
  ibrav = 0, nat = 4, ntyp = 3
/
ATOMIC_SPECIES
Be 9.01 Be.upf
Tl 204.38 Tl.upf
Au 196.97 Au.upf
CELL_PARAMETERS angstrom
2.986 0.000 0.000
0.000 3.974 0.000
0.000 0.000 5.727
ATOMIC_POSITIONS crystal
Be 0.000 0.000 0.000
Be 0.500 0.000 0.500
Tl 0.000 0.500 0.500
Au 0.500 0.500 0.000
```

Values from the calculation:
- ΔE to the lowest computed polymorph: 9.43 kcal/mol of atoms
- Raw total energy: -2.7588 eV/atom
- Formation energy: 0.515 eV per atom

(7)
First-principles (PBE) data for Be2TlAu2 after structural relaxation, as listed in Alexandria. Values from VASP.

```
&SYSTEM
  ibrav = 0, nat = 5, ntyp = 3
/
ATOMIC_SPECIES
Be 9.01 Be.upf
Tl 204.38 Tl.upf
Au 196.97 Au.upf
CELL_PARAMETERS angstrom
-1.791 1.791 6.642
1.791 -1.791 6.642
1.791 1.791 -6.642
ATOMIC_POSITIONS crystal
Be 0.250 0.750 0.500
Be 0.750 0.250 0.500
Tl 0.000 0.000 0.000
Au 0.365 0.365 0.000
Au 0.635 0.635 0.000
```

Values from the calculation:
- ΔE to the lowest computed polymorph: 0.00 kcal/mol of atoms
- Raw total energy: -3.2904 eV/atom
- Formation energy: -0.016 eV per atom

(8)
First-principles (PBE) data for BeTl4Au after structural relaxation, as listed in Alexandria. Values from VASP.

```
&SYSTEM
  ibrav = 0, nat = 6, ntyp = 3
/
ATOMIC_SPECIES
Be 9.01 Be.upf
Tl 204.38 Tl.upf
Au 196.97 Au.upf
CELL_PARAMETERS angstrom
0.000 4.458 4.458
4.458 0.000 4.458
4.458 4.458 0.000
ATOMIC_POSITIONS crystal
Be 0.000 0.000 0.000
Tl 0.125 0.625 0.625
Tl 0.625 0.125 0.625
Tl 0.625 0.625 0.125
Tl 0.625 0.625 0.625
Au 0.250 0.250 0.250
```

Values from the calculation:
- Raw total energy: -2.0494 eV/atom
- Formation energy: 0.695 eV per atom

(9)
First-principles (PBE) data for Be2TlAu after structural relaxation, as listed in Alexandria. Values from VASP.

```
&SYSTEM
  ibrav = 0, nat = 8, ntyp = 3
/
ATOMIC_SPECIES
Be 9.01 Be.upf
Tl 204.38 Tl.upf
Au 196.97 Au.upf
CELL_PARAMETERS angstrom
-2.229 2.229 7.902
2.229 -2.229 7.902
2.229 2.229 -7.902
ATOMIC_POSITIONS crystal
Be 0.000 0.000 0.000
Be 0.000 0.000 0.500
Be 0.000 0.500 0.000
Be 0.500 0.000 0.500
Tl 0.375 0.625 0.750
Tl 0.625 0.375 0.250
Au 0.125 0.875 0.250
Au 0.875 0.125 0.750
```

Values from the calculation:
- ΔE to the lowest computed polymorph: 5.58 kcal/mol of atoms
- Raw total energy: -2.9259 eV/atom
- Formation energy: 0.348 eV per atom

(10)
First-principles (PBE) data for Be2TlAu after structural relaxation, as listed in Alexandria. Values from VASP.

```
&SYSTEM
  ibrav = 0, nat = 4, ntyp = 3
/
ATOMIC_SPECIES
Be 9.01 Be.upf
Tl 204.38 Tl.upf
Au 196.97 Au.upf
CELL_PARAMETERS angstrom
3.170 0.000 0.000
0.000 3.849 0.000
-1.549 0.000 5.551
ATOMIC_POSITIONS crystal
Be 0.000 0.000 0.000
Be 0.116 0.500 0.233
Tl 0.849 0.500 0.708
Au 0.646 0.000 0.299
```

Values from the calculation:
- ΔE to the lowest computed polymorph: 4.57 kcal/mol of atoms
- Raw total energy: -2.9696 eV/atom
- Formation energy: 0.304 eV per atom

(11)
First-principles (PBE) data for Be3TlAu10 after structural relaxation, as listed in Alexandria. Values from VASP.

```
&SYSTEM
  ibrav = 0, nat = 28, ntyp = 3
/
ATOMIC_SPECIES
Be 9.01 Be.upf
Tl 204.38 Tl.upf
Au 196.97 Au.upf
CELL_PARAMETERS angstrom
0.000 6.233 6.233
6.233 0.000 6.233
6.233 6.233 0.000
ATOMIC_POSITIONS crystal
Be 0.232 0.232 0.768
Be 0.232 0.768 0.232
Be 0.232 0.768 0.768
Be 0.768 0.232 0.232
Be 0.768 0.232 0.768
Be 0.768 0.768 0.232
Tl 0.250 0.250 0.250
Tl 0.750 0.750 0.750
Au 0.114 0.114 0.114
Au 0.114 0.114 0.658
Au 0.114 0.658 0.114
Au 0.164 0.500 0.500
Au 0.164 0.500 0.836
Au 0.164 0.836 0.500
Au 0.342 0.886 0.886
Au 0.500 0.164 0.500
Au 0.500 0.164 0.836
Au 0.500 0.500 0.164
Au 0.500 0.500 0.836
Au 0.500 0.836 0.164
Au 0.500 0.836 0.500
Au 0.658 0.114 0.114
Au 0.836 0.164 0.500
Au 0.836 0.500 0.164
Au 0.836 0.500 0.500
Au 0.886 0.342 0.886
Au 0.886 0.886 0.342
Au 0.886 0.886 0.886
```

Values from the calculation:
- Raw total energy: -3.3879 eV/atom
- Formation energy: -0.079 eV per atom

(12)
First-principles (PBE) data for Be2TlAu after structural relaxation, as listed in Alexandria. Values from VASP.

```
&SYSTEM
  ibrav = 0, nat = 4, ntyp = 3
/
ATOMIC_SPECIES
Be 9.01 Be.upf
Tl 204.38 Tl.upf
Au 196.97 Au.upf
CELL_PARAMETERS angstrom
2.775 -4.132 0.000
2.775 4.132 0.000
-1.668 0.000 3.067
ATOMIC_POSITIONS crystal
Be 0.000 0.500 0.000
Be 0.500 0.000 0.000
Tl 0.000 0.000 0.000
Au 0.500 0.500 0.000
```

Values from the calculation:
- ΔE to the lowest computed polymorph: 8.88 kcal/mol of atoms
- Raw total energy: -2.7825 eV/atom
- Formation energy: 0.491 eV per atom

(13)
First-principles (PBE) data for Be2TlAu after structural relaxation, as listed in Alexandria. Values from VASP.

```
&SYSTEM
  ibrav = 0, nat = 4, ntyp = 3
/
ATOMIC_SPECIES
Be 9.01 Be.upf
Tl 204.38 Tl.upf
Au 196.97 Au.upf
CELL_PARAMETERS angstrom
2.953 0.000 0.000
0.000 2.953 0.000
0.000 0.000 7.693
ATOMIC_POSITIONS crystal
Be 0.000 0.000 0.000
Be 0.500 0.500 0.135
Tl 0.000 0.000 0.434
Au 0.500 0.500 0.822
```

Values from the calculation:
- ΔE to the lowest computed polymorph: 4.59 kcal/mol of atoms
- Raw total energy: -2.9688 eV/atom
- Formation energy: 0.305 eV per atom